Material: Er3Al3Cr2O12
Method: DFT, GGA+U
State: relaxed

Properties
- Space-group type: Ia-3d, No. 230
- Energy: -8.007 eV/atom

Cell lengths 10.567, 10.567, 10.567 Å; angles 109.47, 109.47, 109.47 degrees
Last column: magnetic moment on the atom in μB.
Fractional positions:
Er (0.375, 0.750, 0.125)  0.01
Er (0.625, 0.250, 0.875)  0.01
Er (0.250, 0.875, 0.625)  0.01
Er (0.875, 0.625, 0.250)  0.01
Er (0.375, 0.125, 0.250)  0.01
Er (0.250, 0.375, 0.125)  0.01
Er (0.125, 0.375, 0.750)  0.01
Er (0.625, 0.875, 0.750)  0.01
Er (0.875, 0.750, 0.625)  0.01
Er (0.750, 0.125, 0.375)  0.01
Er (0.125, 0.250, 0.375)  0.01
Er (0.750, 0.625, 0.875)  0.01
Al (0.375, 0.250, 0.625)  0.00
Al (0.625, 0.750, 0.375)  0.00
Al (0.125, 0.875, 0.250)  0.00
Al (0.750, 0.875, 0.125)  0.00
Al (0.125, 0.750, 0.875)  0.00
Al (0.250, 0.125, 0.875)  0.00
Al (0.625, 0.375, 0.250)  0.00
Al (0.875, 0.250, 0.125)  0.00
Al (0.250, 0.625, 0.375)  0.00
Al (0.875, 0.125, 0.750)  0.00
Al (0.375, 0.625, 0.750)  0.00
Al (0.750, 0.375, 0.625)  0.00
O (0.402, 0.086, 0.876)  -0.01
O (0.975, 0.791, 0.876)  -0.01
O (0.124, 0.025, 0.209)  -0.01
O (0.816, 0.525, 0.402)  -0.01
O (0.376, 0.291, 0.475)  -0.01
O (0.124, 0.598, 0.914)  -0.01
O (0.876, 0.975, 0.791)  -0.01
O (0.624, 0.709, 0.525)  -0.01
O (0.525, 0.402, 0.816)  -0.01
O (0.098, 0.975, 0.684)  -0.01
O (0.291, 0.316, 0.914)  -0.01
O (0.414, 0.816, 0.791)  -0.01
O (0.184, 0.209, 0.586)  -0.01
O (0.902, 0.376, 0.586)  -0.01
O (0.475, 0.598, 0.184)  -0.01
O (0.414, 0.098, 0.624)  -0.01
O (0.086, 0.876, 0.402)  -0.01
O (0.086, 0.709, 0.684)  -0.01
O (0.791, 0.414, 0.816)  -0.01
O (0.975, 0.684, 0.098)  -0.01
O (0.598, 0.184, 0.475)  -0.01
O (0.791, 0.876, 0.975)  -0.01
O (0.914, 0.124, 0.598)  -0.01
O (0.291, 0.475, 0.376)  -0.01
O (0.624, 0.414, 0.098)  -0.01
O (0.525, 0.624, 0.709)  -0.01
O (0.184, 0.475, 0.598)  -0.01
O (0.684, 0.098, 0.975)  -0.01
O (0.598, 0.914, 0.124)  -0.01
O (0.586, 0.184, 0.209)  -0.01
O (0.098, 0.624, 0.414)  -0.01
O (0.709, 0.525, 0.624)  -0.01
O (0.025, 0.209, 0.124)  -0.01
O (0.316, 0.902, 0.025)  -0.01
O (0.586, 0.902, 0.376)  -0.01
O (0.684, 0.086, 0.709)  -0.01
O (0.025, 0.316, 0.902)  -0.01
O (0.876, 0.402, 0.086)  -0.01
O (0.316, 0.914, 0.291)  -0.01
O (0.709, 0.684, 0.086)  -0.01
O (0.402, 0.816, 0.525)  -0.01
O (0.475, 0.376, 0.291)  -0.01
O (0.816, 0.791, 0.414)  -0.01
O (0.914, 0.291, 0.316)  -0.01
O (0.209, 0.124, 0.025)  -0.01
O (0.376, 0.586, 0.902)  -0.01
O (0.209, 0.586, 0.184)  -0.01
O (0.902, 0.025, 0.316)  -0.01
Cr (0.500, 0.000, 0.000)  2.97
Cr (0.500, 0.500, 0.000)  2.97
Cr (0.000, 0.500, 0.500)  2.97
Cr (0.500, 0.000, 0.500)  2.97
Cr (0.000, 0.000, 0.500)  2.97
Cr (0.000, 0.500, 0.000)  2.97
Cr (0.500, 0.500, 0.500)  2.97
Cr (0.000, 0.000, 0.000)  2.97